(one)
# YAgHg3 | the Alexandria database | GGA-PBE | relaxed
# * space group: Pm-3m, No. 221
# * crystal system: cubic
data_YAgHg3
_chemical_formula_sum 'Y1 Ag1 Hg3'
_symmetry_space_group_name_H-M 'P 1'
_symmetry_Int_Tables_number 1
_cell_length_a 5.8457
_cell_length_b 5.8457
_cell_length_c 5.8457
_cell_angle_alpha 90.00
_cell_angle_beta 90.00
_cell_angle_gamma 90.00
loop_
_symmetry_equiv_pos_as_xyz
'x,y,z'
loop_
_atom_site_label
_atom_site_type_symbol
_atom_site_fract_x
_atom_site_fract_y
_atom_site_fract_z
Y1 Y 0.0000 0.0000 0.0000
Hg1 Hg 0.0000 0.5000 0.0000
Hg2 Hg 0.0000 0.0000 0.5000
Hg3 Hg 0.5000 0.0000 0.0000
Ag1 Ag 0.5000 0.5000 0.5000

(two)
# YAgHg3 | the Alexandria database | GGA-PBE | relaxed
# * space group: Pm-3m, No. 221
# * crystal system: cubic
data_YAgHg3
_chemical_formula_sum 'Y1 Ag1 Hg3'
_symmetry_space_group_name_H-M 'P 1'
_symmetry_Int_Tables_number 1
_cell_length_a 5.2065
_cell_length_b 5.2065
_cell_length_c 5.2065
_cell_angle_alpha 90.00
_cell_angle_beta 90.00
_cell_angle_gamma 90.00
loop_
_symmetry_equiv_pos_as_xyz
'x,y,z'
loop_
_atom_site_label
_atom_site_type_symbol
_atom_site_fract_x
_atom_site_fract_y
_atom_site_fract_z
Y1 Y 0.5000 0.5000 0.5000
Hg1 Hg 0.0000 0.5000 0.0000
Hg2 Hg 0.0000 0.0000 0.5000
Hg3 Hg 0.5000 0.0000 0.0000
Ag1 Ag 0.0000 0.0000 0.0000

Which structure is the most stable? The one labeled (two).

(one)
# Y4AgHg | the Alexandria database | GGA-PBE | relaxed
# * space group: P4/mmm, No. 123
# * crystal system: tetragonal
data_Y4AgHg
_chemical_formula_sum 'Y4 Ag1 Hg1'
_symmetry_space_group_name_H-M 'P 1'
_symmetry_Int_Tables_number 1
_cell_length_a 5.0585
_cell_length_b 5.0590
_cell_length_c 7.2166
_cell_angle_alpha 89.98
_cell_angle_beta 89.99
_cell_angle_gamma 90.00
loop_
_symmetry_equiv_pos_as_xyz
'x,y,z'
loop_
_atom_site_label
_atom_site_type_symbol
_atom_site_fract_x
_atom_site_fract_y
_atom_site_fract_z
Y1 Y 0.5012 0.9970 0.2519
Y2 Y 0.5014 0.9976 0.7443
Y3 Y 0.0014 0.4975 0.7443
Y4 Y 0.0011 0.4971 0.2520
Ag1 Ag 0.0013 0.9972 0.4981
Hg1 Hg 0.5013 0.4973 0.9982

(two)
# Y4AgHg | the Alexandria database | GGA-PBE | relaxed
# * space group: F-43m, No. 216
# * crystal system: cubic
data_Y4AgHg
_chemical_formula_sum 'Y4 Ag1 Hg1'
_symmetry_space_group_name_H-M 'P 1'
_symmetry_Int_Tables_number 1
_cell_length_a 6.2612
_cell_length_b 6.2612
_cell_length_c 6.2612
_cell_angle_alpha 60.00
_cell_angle_beta 60.00
_cell_angle_gamma 60.00
loop_
_symmetry_equiv_pos_as_xyz
'x,y,z'
loop_
_atom_site_label
_atom_site_type_symbol
_atom_site_fract_x
_atom_site_fract_y
_atom_site_fract_z
Y1 Y 0.8762 0.3746 0.3746
Y2 Y 0.3746 0.3746 0.8762
Y3 Y 0.3746 0.8762 0.3746
Y4 Y 0.3746 0.3746 0.3746
Ag1 Ag 0.7500 0.7500 0.7500
Hg1 Hg 0.0000 0.0000 0.0000

Which structure is the most stable? The one labeled (one).

(one)
# YAg2Hg2 | the Alexandria database | GGA-PBE | relaxed
# * space group: P4/mbm, No. 127
# * crystal system: tetragonal
data_YAg2Hg2
_chemical_formula_sum 'Y2 Ag4 Hg4'
_symmetry_space_group_name_H-M 'P 1'
_symmetry_Int_Tables_number 1
_cell_length_a 7.9866
_cell_length_b 7.9866
_cell_length_c 3.5185
_cell_angle_alpha 90.00
_cell_angle_beta 90.00
_cell_angle_gamma 90.00
loop_
_symmetry_equiv_pos_as_xyz
'x,y,z'
loop_
_atom_site_label
_atom_site_type_symbol
_atom_site_fract_x
_atom_site_fract_y
_atom_site_fract_z
Y1 Y 0.0000 0.0000 0.0000
Y2 Y 0.5000 0.5000 0.0000
Hg1 Hg 0.1771 0.6771 0.5000
Hg2 Hg 0.6771 0.8229 0.5000
Hg3 Hg 0.8229 0.3229 0.5000
Hg4 Hg 0.3229 0.1771 0.5000
Ag1 Ag 0.3774 0.8774 0.0000
Ag2 Ag 0.8774 0.6226 0.0000
Ag3 Ag 0.6226 0.1226 0.0000
Ag4 Ag 0.1226 0.3774 0.0000

(two)
# YAg2Hg2 | the Alexandria database | GGA-PBE | relaxed
# * space group: I4/mmm, No. 139
# * crystal system: tetragonal
data_YAg2Hg2
_chemical_formula_sum 'Y1 Ag2 Hg2'
_symmetry_space_group_name_H-M 'P 1'
_symmetry_Int_Tables_number 1
_cell_length_a 4.0908
_cell_length_b 4.0908
_cell_length_c 7.4855
_cell_angle_alpha 74.14
_cell_angle_beta 74.14
_cell_angle_gamma 90.00
loop_
_symmetry_equiv_pos_as_xyz
'x,y,z'
loop_
_atom_site_label
_atom_site_type_symbol
_atom_site_fract_x
_atom_site_fract_y
_atom_site_fract_z
Y1 Y 0.0000 0.0000 0.0000
Hg1 Hg 0.3957 0.3957 0.2086
Hg2 Hg 0.6043 0.6043 0.7914
Ag1 Ag 0.7500 0.2500 0.5000
Ag2 Ag 0.2500 0.7500 0.5000

Which structure is the most stable? The one labeled (two).

(one)
# YAg2Hg2 | the Alexandria database | GGA-PBE | relaxed
# * space group: P4/mbm, No. 127
# * crystal system: tetragonal
data_YAg2Hg2
_chemical_formula_sum 'Y2 Ag4 Hg4'
_symmetry_space_group_name_H-M 'P 1'
_symmetry_Int_Tables_number 1
_cell_length_a 7.8715
_cell_length_b 7.8715
_cell_length_c 3.7433
_cell_angle_alpha 90.00
_cell_angle_beta 90.00
_cell_angle_gamma 90.00
loop_
_symmetry_equiv_pos_as_xyz
'x,y,z'
loop_
_atom_site_label
_atom_site_type_symbol
_atom_site_fract_x
_atom_site_fract_y
_atom_site_fract_z
Y1 Y 0.0000 0.0000 0.0000
Y2 Y 0.5000 0.5000 0.0000
Hg1 Hg 0.3699 0.8699 0.0000
Hg2 Hg 0.8699 0.6301 0.0000
Hg3 Hg 0.6301 0.1301 0.0000
Hg4 Hg 0.1301 0.3699 0.0000
Ag1 Ag 0.1718 0.6718 0.5000
Ag2 Ag 0.6718 0.8282 0.5000
Ag3 Ag 0.8282 0.3282 0.5000
Ag4 Ag 0.3282 0.1718 0.5000

(two)
# YAg2Hg2 | the Alexandria database | GGA-PBE | relaxed
# * space group: P-1, No. 2
# * crystal system: triclinic
data_YAg2Hg2
_chemical_formula_sum 'Y2 Ag4 Hg4'
_symmetry_space_group_name_H-M 'P 1'
_symmetry_Int_Tables_number 1
_cell_length_a 5.0358
_cell_length_b 5.6483
_cell_length_c 8.5091
_cell_angle_alpha 64.09
_cell_angle_beta 90.07
_cell_angle_gamma 89.88
loop_
_symmetry_equiv_pos_as_xyz
'x,y,z'
loop_
_atom_site_label
_atom_site_type_symbol
_atom_site_fract_x
_atom_site_fract_y
_atom_site_fract_z
Y1 Y 0.7504 0.0415 0.7150
Y2 Y 0.2496 0.9585 0.2850
Ag1 Ag 0.7503 0.4279 0.9299
Ag2 Ag 0.2513 0.7280 0.6957
Ag3 Ag 0.2497 0.5721 0.0701
Ag4 Ag 0.7487 0.2720 0.3043
Hg1 Hg 0.2493 0.3283 0.4767
Hg2 Hg 0.7498 0.8272 0.1181
Hg3 Hg 0.2502 0.1728 0.8819
Hg4 Hg 0.7507 0.6717 0.5233

Which structure is the most stable? The one labeled (two).